Entry from Alexandria via LeMat-Bulk: an optimized crystal structure of LiTaCd (PBE).

Unit cell a=3.7791 b=3.7791 c=7.5900 alpha=90.00 beta=90.00 gamma=90.00
Closest atoms and distances in Å follow each position.
Element x y z (fractional)
Cd  0.0000  0.0000  0.5000  4 Li 2.67, 4 Cd 2.67
Cd  0.5000  0.5000  0.5000  4 Li 2.67, 4 Cd 2.67
Li  0.0000  0.5000  0.2522  1 Ta 2.57, 4 Cd 2.67
Li  0.5000  0.0000  0.7478  1 Ta 2.57, 4 Cd 2.67
Ta  0.0000  0.5000  0.9142  1 Li 2.57
Ta  0.5000  0.0000  0.0858  1 Li 2.57

## Properties
Space-group type   P4/nmm (129)
Crystal system   tetragonal
ΔE_f   47 kJ/mol of atoms

=====

Entry from Alexandria via LeMat-Bulk: an optimized crystal structure of LiTaCd (PBE).

Unit cell a=15.8081 b=6.5100 c=6.5100 alpha=153.84 beta=153.91 gamma=26.09
Closest atoms and distances in Å follow each position.
Element x y z (fractional)
Cd  0.5000  0.0000  0.0000  4 Li 2.92, 4 Cd 2.95-3.20, 4 Ta 3.00
Cd  0.0000  0.5000  0.5000  4 Cd 2.95-3.20, 4 Li 2.96, 4 Ta 3.04
Li  0.8400  0.9968  0.0032  4 Cd 2.92-2.96, 4 Li 2.92-2.95, 3 Ta 3.11-3.13
Li  0.1600  0.0032  0.9968  4 Cd 2.92-2.96, 4 Li 2.92-2.95, 3 Ta 3.11-3.13
Ta  0.3566  0.4711  0.5289  4 Ta 2.70-2.95, 2 Cd 3.00
Ta  0.6434  0.5289  0.4711  4 Ta 2.70-2.95, 2 Cd 3.00

## Properties
Space-group type   C2/m (12)
Crystal system   monoclinic
ΔE_f   20 kJ/mol of atoms

=====

Entry from Alexandria via LeMat-Bulk: an optimized crystal structure of LiTa2Cd (PBE).

Unit cell a=5.2410 b=5.2410 c=5.3534 alpha=69.47 beta=69.47 gamma=32.11
Closest atoms and distances in Å follow each position.
Element x y z (fractional)
Cd  0.4996  0.4996  0.5866  3 Li 2.73-2.77, 2 Cd 2.90, 2 Ta 3.02
Li  0.7526  0.7526  0.6662  3 Cd 2.73-2.77, 2 Li 2.90, 4 Ta 3.03-3.06
Ta  0.9969  0.9969  0.0829  5 Ta 2.75-2.90, 4 Cd 3.02-3.07
Ta  0.2508  0.2508  0.1642  5 Ta 2.75-2.90, 4 Li 3.03-3.06, 2 Cd 3.07

## Properties
Space-group type   Cm (8)
Crystal system   monoclinic
ΔE_f   30 kJ/mol of atoms

=====

Entry from Alexandria via LeMat-Bulk: an optimized crystal structure of LiTaCd (PBE).

Unit cell a=7.3992 b=2.8982 c=5.3621 alpha=90.00 beta=98.63 gamma=90.00
Closest atoms and distances in Å follow each position.
Element x y z (fractional)
Cd  0.3114  0.2500  0.0123  3 Li 2.86-2.88, 4 Cd 2.90-3.17, 4 Ta 3.04-3.08
Cd  0.6886  0.7500  0.9877  3 Li 2.86-2.88, 4 Cd 2.90-3.17, 4 Ta 3.04-3.08
Li  0.9934  0.2500  0.2578  3 Cd 2.86-2.88, 6 Li 2.90-3.14, 3 Ta 2.96-3.14
Li  0.0066  0.7500  0.7422  3 Cd 2.86-2.88, 6 Li 2.90-3.14, 3 Ta 2.96-3.14
Ta  0.6517  0.2500  0.4834  4 Ta 2.70-2.90, 1 Li 2.96
Ta  0.3483  0.7500  0.5166  4 Ta 2.70-2.90, 1 Li 2.96

## Properties
Space-group type   P2_1/m (11)
Crystal system   monoclinic
ΔE_f   20 kJ/mol of atoms

=====

Entry from Alexandria via LeMat-Bulk: an optimized crystal structure of LiTaCd (PBE).

Unit cell a=6.3768 b=2.8744 c=12.5608 alpha=90.00 beta=90.00 gamma=90.00
Closest atoms and distances in Å follow each position.
Element x y z (fractional)
Cd  0.8580  0.2500  0.7434  4 Cd 2.87-3.19, 4 Li 2.96-3.03, 4 Ta 3.03-3.04
Cd  0.6420  0.7500  0.2434  4 Cd 2.87-3.19, 4 Li 2.96-3.03, 4 Ta 3.03-3.04
Cd  0.1420  0.7500  0.2566  4 Cd 2.87-3.19, 4 Li 2.96-3.03, 4 Ta 3.03-3.04
Cd  0.3580  0.2500  0.7566  4 Cd 2.87-3.19, 4 Li 2.96-3.03, 4 Ta 3.03-3.04
Li  0.8846  0.2500  0.4160  4 Li 2.87-2.95, 4 Cd 2.96-3.03, 3 Ta 3.02-3.14
Li  0.6155  0.7500  0.9160  4 Li 2.87-2.95, 4 Cd 2.96-3.03, 3 Ta 3.02-3.14
Li  0.1154  0.7500  0.5840  4 Li 2.87-2.95, 4 Cd 2.96-3.03, 3 Ta 3.02-3.14
Li  0.3846  0.2500  0.0840  4 Li 2.87-2.95, 4 Cd 2.96-3.03, 3 Ta 3.02-3.14
Ta  0.4107  0.2500  0.4205  4 Ta 2.71-2.87, 1 Li 3.02, 2 Cd 3.03
Ta  0.0893  0.7500  0.9205  4 Ta 2.71-2.87, 1 Li 3.02, 2 Cd 3.03
Ta  0.5893  0.7500  0.5795  4 Ta 2.71-2.87, 1 Li 3.02, 2 Cd 3.03
Ta  0.9107  0.2500  0.0795  4 Ta 2.71-2.87, 1 Li 3.02, 2 Cd 3.03

## Properties
Space-group type   Pnma (62)
Crystal system   orthorhombic
ΔE_f   20 kJ/mol of atoms

=====

Entry from Alexandria via LeMat-Bulk: an optimized crystal structure of Li2TaCd (PBE).

Unit cell a=2.8213 b=2.8213 c=8.7313 alpha=90.00 beta=90.00 gamma=90.00
Closest atoms and distances in Å follow each position.
Element x y z (fractional)
Cd  0.5000  0.5000  0.7500  4 Cd 2.82, 8 Li 2.91
Li  0.0000  0.0000  0.9934  4 Li 2.82, 4 Cd 2.91, 4 Ta 3.00
Li  0.0000  0.0000  0.5066  4 Li 2.82, 4 Cd 2.91, 4 Ta 3.00
Ta  0.5000  0.5000  0.2500  4 Ta 2.82, 8 Li 3.00

## Properties
Space-group type   P4/mmm (123)
Crystal system   tetragonal
ΔE_f   22 kJ/mol of atoms

=====

Entry from Alexandria via LeMat-Bulk: an optimized crystal structure of LiTa3Cd (PBE).

Unit cell a=5.0331 b=5.0331 c=5.0331 alpha=90.00 beta=90.00 gamma=90.00
Closest atoms and distances in Å follow each position.
Element x y z (fractional)
Cd  0.0000  0.0000  0.0000  6 Ta 2.52
Li  0.5000  0.5000  0.5000  12 Ta 3.56
Ta  0.0000  0.5000  0.0000  2 Cd 2.52
Ta  0.0000  0.0000  0.5000  2 Cd 2.52
Ta  0.5000  0.0000  0.0000  2 Cd 2.52

## Properties
Space-group type   Pm-3m (221)
Crystal system   cubic
ΔE_f   217 kJ/mol of atoms

=====

Entry from Alexandria via LeMat-Bulk: an optimized crystal structure of Li4TaCd (PBE).

Unit cell a=5.1623 b=5.1623 c=5.1623 alpha=60.00 beta=60.00 gamma=60.00
Closest atoms and distances in Å follow each position.
Element x y z (fractional)
Li  0.8738  0.3754  0.3754  6 Li 2.57-2.59
Li  0.3754  0.3754  0.8738  6 Li 2.57-2.59
Li  0.3754  0.8738  0.3754  6 Li 2.57-2.59
Li  0.3754  0.3754  0.3754  6 Li 2.57-2.59
Ta  0.7500  0.7500  0.7500  12 Li 3.03, 4 Cd 3.16
Cd  0.0000  0.0000  0.0000  12 Li 3.03, 4 Ta 3.16

## Properties
Space-group type   F-43m (216)
Crystal system   cubic
ΔE_f   40 kJ/mol of atoms

=====

Entry from Alexandria via LeMat-Bulk: an optimized crystal structure of Li2TaCd (PBE).

Unit cell a=2.7095 b=4.4548 c=6.0202 alpha=90.00 beta=90.00 gamma=90.00
Closest atoms and distances in Å follow each position.
Element x y z (fractional)
Cd  0.5000  0.5000  0.7497  2 Cd 2.71, 5 Li 2.96-3.02, 4 Ta 2.99
Li  0.0000  0.0000  0.0036  6 Li 2.71-2.97, 2 Ta 3.00-3.02, 4 Cd 3.02
Li  0.5000  0.5000  0.2408  6 Li 2.71-2.97, 1 Cd 2.96
Ta  0.0000  0.0000  0.5058  2 Ta 2.71, 4 Cd 2.99, 2 Li 3.00-3.02

## Properties
Space-group type   Pmm2 (25)
Crystal system   orthorhombic
ΔE_f   28 kJ/mol of atoms

=====

Entry from Alexandria via LeMat-Bulk: an optimized crystal structure of LiTaCd (PBE).

Unit cell a=5.3657 b=2.8841 c=7.8741 alpha=79.69 beta=80.55 gamma=74.62
Closest atoms and distances in Å follow each position.
Element x y z (fractional)
Cd  0.5000  0.0000  0.0000  2 Cd 2.88, 4 Li 2.90-2.91, 6 Ta 3.00-3.02
Cd  0.0000  0.0000  0.5000  2 Cd 2.88, 6 Li 3.06-3.13, 4 Ta 3.07-3.08
Li  0.5012  0.3368  0.3251  4 Li 2.88-3.07, 5 Cd 2.90-3.13, 3 Ta 3.02-3.17
Li  0.4988  0.6632  0.6749  4 Li 2.88-3.07, 5 Cd 2.90-3.13, 3 Ta 3.02-3.17
Ta  0.0131  0.6690  0.1488  4 Ta 2.73-2.88, 3 Cd 3.00-3.02, 1 Li 3.02
Ta  0.9869  0.3310  0.8512  4 Ta 2.73-2.88, 3 Cd 3.00-3.02, 1 Li 3.02

## Properties
Space-group type   P-1 (2)
Crystal system   triclinic
ΔE_f   21 kJ/mol of atoms

=====

Entry from Alexandria via LeMat-Bulk: an optimized crystal structure of LiTaCd2 (PBE).

Unit cell a=2.9410 b=2.9410 c=8.6266 alpha=90.00 beta=90.00 gamma=90.00
Closest atoms and distances in Å follow each position.
Element x y z (fractional)
Cd  0.0000  0.0000  0.9929  8 Cd 2.94-3.21, 4 Ta 3.04
Cd  0.5000  0.5000  0.2761  4 Li 2.81, 4 Cd 2.94
Li  0.0000  0.0000  0.4952  4 Cd 2.81, 4 Ta 2.94, 4 Li 2.94
Ta  0.5000  0.5000  0.7357  4 Li 2.94, 4 Ta 2.94, 4 Cd 3.04

## Properties
Space-group type   P4mm (99)
Crystal system   tetragonal
ΔE_f   20 kJ/mol of atoms

=====

Entry from Alexandria via LeMat-Bulk: an optimized crystal structure of LiTaCd2 (PBE).

Unit cell a=5.1612 b=2.8909 c=5.1599 alpha=90.00 beta=90.00 gamma=90.00
Closest atoms and distances in Å follow each position.
Element x y z (fractional)
Cd  0.0000  0.1253  0.8758  2 Cd 2.89, 4 Li 2.96, 4 Ta 2.96
Cd  0.5000  0.1248  0.3740  2 Cd 2.89, 4 Ta 2.96, 4 Li 2.96
Li  0.0000  0.6250  0.3762  2 Li 2.89, 8 Cd 2.96
Ta  0.5000  0.6249  0.8740  2 Ta 2.89, 8 Cd 2.96

## Properties
Space-group type   Pmm2 (25)
Crystal system   orthorhombic
ΔE_f   15 kJ/mol of atoms

=====

- Which of these has the lowest ΔE_f?
  number 12

=====

- The highest ΔE_f belongs to which entry?
  LiTa3Cd